Record 1
! Ho2BeNi6Ge PBE relaxed; values from VASP
! E_tot = -5.416 eV per atom
! energy of formation = -0.198 eV/atom
! volume = 15.10 Å³/atom
&SYSTEM
  ibrav = 0, nat = 10, ntyp = 4
/
ATOMIC_SPECIES
Ho 164.93 Ho.upf
Be 9.01 Be.upf
Ni 58.69 Ni.upf
Ge 72.64 Ge.upf
ATOMIC_POSITIONS crystal
Ho 0.2500 0.7500 0.5000
Ho 0.7500 0.2500 0.5000
Be 0.5000 0.5000 0.0000
Ni 0.2656 0.7344 0.0000
Ni 0.7343 0.7343 0.0000
Ni 0.2656 0.2656 0.4687
Ni 0.7344 0.2656 0.0000
Ni 0.2657 0.2657 0.0000
Ni 0.7344 0.7344 0.5313
Ge 0.0000 0.0000 0.0000
CELL_PARAMETERS angstrom
-1.5219 -5.0292 2.8488
5.7459 -1.6361 0.1813
2.5556 -1.3635 5.2283

---

Record 2
! Ho2BeNi3Ge4 PBE relaxed; values from VASP
! E_tot = -5.492 eV per atom
! energy of formation = -0.622 eV/atom
! volume = 15.87 Å³/atom
&SYSTEM
  ibrav = 0, nat = 10, ntyp = 4
/
ATOMIC_SPECIES
Ho 164.93 Ho.upf
Be 9.01 Be.upf
Ni 58.69 Ni.upf
Ge 72.64 Ge.upf
ATOMIC_POSITIONS crystal
Ho 0.5000 0.0000 0.2531
Ho 0.0000 0.5000 0.7469
Be 0.5000 0.5000 0.5000
Ni 0.0000 0.0000 0.5000
Ni 0.5000 0.0000 0.8711
Ni 0.0000 0.5000 0.1289
Ge 0.5000 0.5000 0.0000
Ge 0.0000 0.0000 0.0000
Ge 0.5000 0.0000 0.6316
Ge 0.0000 0.5000 0.3684
CELL_PARAMETERS angstrom
-3.0507 -1.4276 2.2053
-1.5147 -1.8054 -3.2641
5.2217 -8.0359 2.0215

---

Record 3
! Ho2Be2GeO7 PBE relaxed; values from VASP
! E_tot = -7.547 eV per atom
! raw formation energy = -2.886 eV/atom
! volume = 11.04 Å³/atom
&SYSTEM
  ibrav = 0, nat = 24, ntyp = 4
/
ATOMIC_SPECIES
Ho 164.93 Ho.upf
Be 9.01 Be.upf
Ge 72.64 Ge.upf
O 16.00 O.upf
ATOMIC_POSITIONS crystal
Ho 0.1580 0.3420 0.5061
Ho 0.8420 0.6580 0.5061
Ho 0.6580 0.1580 0.4939
Ho 0.3420 0.8420 0.4939
Be 0.6351 0.8649 0.9518
Be 0.3649 0.1351 0.9518
Be 0.1351 0.6351 0.0482
Be 0.8649 0.3649 0.0482
Ge 0.0000 0.0000 0.0000
Ge 0.5000 0.5000 0.0000
O 0.0000 0.5000 0.1886
O 0.5000 0.0000 0.8114
O 0.6420 0.8580 0.2821
O 0.3580 0.1420 0.2821
O 0.1420 0.6420 0.7179
O 0.8580 0.3580 0.7179
O 0.0822 0.8287 0.2181
O 0.9178 0.1713 0.2181
O 0.1713 0.0822 0.7819
O 0.4178 0.3287 0.7819
O 0.8287 0.9178 0.7819
O 0.5822 0.6713 0.7819
O 0.3287 0.5822 0.2181
O 0.6713 0.4178 0.2181
CELL_PARAMETERS angstrom
-1.5698 5.0844 -5.1766
-7.0911 -2.1975 -0.0081
-0.9963 3.2022 3.4473

---

Record 4
! Ho2Be4Ge3Os PBE relaxed; values from VASP
! E_tot = -5.283 eV per atom
! energy of formation = -0.369 eV/atom
! volume = 14.92 Å³/atom
&SYSTEM
  ibrav = 0, nat = 10, ntyp = 4
/
ATOMIC_SPECIES
Ho 164.93 Ho.upf
Be 9.01 Be.upf
Ge 72.64 Ge.upf
Os 190.23 Os.upf
ATOMIC_POSITIONS crystal
Ho 0.5000 0.0000 0.2519
Ho 0.0000 0.5000 0.7481
Be 0.5000 0.5000 0.0000
Be 0.0000 0.0000 0.0000
Be 0.5000 0.0000 0.6344
Be 0.0000 0.5000 0.3656
Ge 0.0000 0.0000 0.5000
Ge 0.5000 0.0000 0.8654
Ge 0.0000 0.5000 0.1346
Os 0.5000 0.5000 0.5000
CELL_PARAMETERS angstrom
3.8528 0.0000 0.0000
0.0000 3.8528 0.0000
0.0000 0.0000 10.0506

---

Record 5
! Ho2BeGePd6 PBE relaxed; values from VASP
! E_tot = -5.537 eV per atom
! energy of formation = -0.672 eV/atom
! volume = 17.89 Å³/atom
&SYSTEM
  ibrav = 0, nat = 10, ntyp = 4
/
ATOMIC_SPECIES
Ho 164.93 Ho.upf
Be 9.01 Be.upf
Ge 72.64 Ge.upf
Pd 106.42 Pd.upf
ATOMIC_POSITIONS crystal
Ho 0.7744 0.2129 0.4520
Ho 0.2256 0.7871 0.5480
Be 0.5000 0.5000 0.0000
Ge 0.0000 0.0000 0.0000
Pd 0.2825 0.2186 0.4361
Pd 0.6798 0.6608 0.1513
Pd 0.1686 0.6608 0.1512
Pd 0.8314 0.3392 0.8488
Pd 0.3202 0.3392 0.8487
Pd 0.7175 0.7814 0.5639
CELL_PARAMETERS angstrom
-0.5724 4.5511 -3.4784
-6.5626 -2.2208 -1.8227
-4.0935 3.8515 0.9451

---

Record 6
! HoBe2GePd2 PBE relaxed; values from VASP
! E_tot = -4.721 eV per atom
! energy of formation = -0.215 eV/atom
! volume = 16.25 Å³/atom
&SYSTEM
  ibrav = 0, nat = 6, ntyp = 4
/
ATOMIC_SPECIES
Ho 164.93 Ho.upf
Be 9.01 Be.upf
Ge 72.64 Ge.upf
Pd 106.42 Pd.upf
ATOMIC_POSITIONS crystal
Ho 0.0000 0.0000 0.5000
Be 0.5000 0.0000 0.0000
Be 0.0000 0.5000 0.0000
Ge 0.0000 0.0000 0.0000
Pd 0.5000 0.5000 0.7475
Pd 0.5000 0.5000 0.2525
CELL_PARAMETERS angstrom
4.1620 0.0000 0.0000
0.0000 4.1620 0.0000
0.0000 0.0000 5.6274

---

Record 7
! HoBeGePt3 PBE relaxed; values from VASP
! E_tot = -5.916 eV per atom
! energy of formation = -0.742 eV/atom
! volume = 17.44 Å³/atom
&SYSTEM
  ibrav = 0, nat = 12, ntyp = 4
/
ATOMIC_SPECIES
Ho 164.93 Ho.upf
Be 9.01 Be.upf
Ge 72.64 Ge.upf
Pt 195.08 Pt.upf
ATOMIC_POSITIONS crystal
Ho 0.7500 0.2810 0.5620
Ho 0.2500 0.7190 0.4380
Be 0.2500 0.9717 0.9435
Be 0.7500 0.0283 0.0565
Ge 0.2500 0.3688 0.7375
Ge 0.7500 0.6312 0.2625
Pt 0.2500 0.1678 0.3355
Pt 0.0000 0.2750 0.0000
Pt 0.5000 0.7250 0.0000
Pt 0.5000 0.2750 0.0000
Pt 0.0000 0.7250 0.0000
Pt 0.7500 0.8322 0.6645
CELL_PARAMETERS angstrom
-4.8060 2.4087 1.3018
-2.5790 -2.2186 -5.4163
-0.4093 -3.8056 5.5302

---

Record 8
! Ho2BeGe4Pt3 PBE relaxed; values from VASP
! E_tot = -5.710 eV per atom
! energy of formation = -0.763 eV/atom
! volume = 18.00 Å³/atom
&SYSTEM
  ibrav = 0, nat = 10, ntyp = 4
/
ATOMIC_SPECIES
Ho 164.93 Ho.upf
Be 9.01 Be.upf
Ge 72.64 Ge.upf
Pt 195.08 Pt.upf
ATOMIC_POSITIONS crystal
Ho 0.5000 0.0000 0.2662
Ho 0.0000 0.5000 0.7338
Be 0.5000 0.5000 0.5000
Ge 0.5000 0.5000 0.0000
Ge 0.0000 0.0000 0.0000
Ge 0.5000 0.0000 0.6332
Ge 0.0000 0.5000 0.3668
Pt 0.0000 0.0000 0.5000
Pt 0.5000 0.0000 0.8556
Pt 0.0000 0.5000 0.1444
CELL_PARAMETERS angstrom
-0.7724 -3.9460 0.3497
0.1889 -0.3925 -4.0125
10.8352 -2.0579 0.7115

---

Record 9
! Ho2BeGe3Pt4 PBE relaxed; values from VASP
! E_tot = -5.965 eV per atom
! energy of formation = -0.875 eV/atom
! volume = 17.89 Å³/atom
&SYSTEM
  ibrav = 0, nat = 10, ntyp = 4
/
ATOMIC_SPECIES
Ho 164.93 Ho.upf
Be 9.01 Be.upf
Ge 72.64 Ge.upf
Pt 195.08 Pt.upf
ATOMIC_POSITIONS crystal
Ho 0.5000 0.0000 0.2630
Ho 0.0000 0.5000 0.7370
Be 0.5000 0.5000 0.5000
Ge 0.0000 0.0000 0.5000
Ge 0.5000 0.0000 0.8598
Ge 0.0000 0.5000 0.1402
Pt 0.5000 0.5000 0.0000
Pt 0.0000 0.0000 0.0000
Pt 0.5000 0.0000 0.6240
Pt 0.0000 0.5000 0.3760
CELL_PARAMETERS angstrom
4.1816 0.0000 0.0000
0.0000 4.1816 0.0000
0.0000 0.0000 10.2332

---

Record 10
! Ho3Be2GePt9 PBE relaxed; values from VASP
! E_tot = -6.177 eV per atom
! energy of formation = -0.832 eV/atom
! volume = 17.83 Å³/atom
&SYSTEM
  ibrav = 0, nat = 15, ntyp = 4
/
ATOMIC_SPECIES
Ho 164.93 Ho.upf
Be 9.01 Be.upf
Ge 72.64 Ge.upf
Pt 195.08 Pt.upf
ATOMIC_POSITIONS crystal
Ho 0.3333 0.6667 0.6059
Ho 0.0000 0.0000 0.0000
Ho 0.6667 0.3333 0.3941
Be 0.3333 0.6667 0.1510
Be 0.6667 0.3333 0.8490
Ge 0.0000 0.0000 0.5000
Pt 0.8349 0.1651 0.6990
Pt 0.8349 0.6699 0.6990
Pt 0.3301 0.1651 0.6990
Pt 0.6699 0.8349 0.3010
Pt 0.1651 0.3301 0.3010
Pt 0.1651 0.8349 0.3010
Pt 0.5000 0.0000 0.0000
Pt 0.0000 0.5000 0.0000
Pt 0.5000 0.5000 0.0000
CELL_PARAMETERS angstrom
5.7355 0.0000 0.0000
-2.8678 4.9671 0.0000
0.0000 0.0000 9.3864

---

Record 11
! Ho2Be2GeRh5 PBE relaxed; values from VASP
! E_tot = -6.625 eV per atom
! energy of formation = -0.826 eV/atom
! volume = 14.79 Å³/atom
&SYSTEM
  ibrav = 0, nat = 20, ntyp = 4
/
ATOMIC_SPECIES
Ho 164.93 Ho.upf
Be 9.01 Be.upf
Ge 72.64 Ge.upf
Rh 102.91 Rh.upf
ATOMIC_POSITIONS crystal
Ho 0.0000 0.6759 0.1759
Ho 0.0000 0.3241 0.8241
Ho 0.0000 0.1759 0.3241
Ho 0.0000 0.8241 0.6759
Be 0.0000 0.1211 0.6211
Be 0.0000 0.8789 0.3789
Be 0.0000 0.6211 0.8789
Be 0.0000 0.3789 0.1211
Ge 0.0000 0.0000 0.0000
Ge 0.0000 0.5000 0.5000
Rh 0.5000 0.2092 0.0667
Rh 0.5000 0.7908 0.9333
Rh 0.5000 0.0667 0.7908
Rh 0.5000 0.7092 0.4333
Rh 0.5000 0.9333 0.2092
Rh 0.5000 0.2908 0.5667
Rh 0.5000 0.5667 0.7092
Rh 0.5000 0.4333 0.2908
Rh 0.5000 0.5000 0.0000
Rh 0.5000 0.0000 0.5000
CELL_PARAMETERS angstrom
3.1948 0.0000 0.0000
0.0000 9.6212 0.0000
0.0000 0.0000 9.6212

---

Record 12
! Ho2Be4Ge3Rh PBE relaxed; values from VASP
! E_tot = -5.026 eV per atom
! energy of formation = -0.500 eV/atom
! volume = 14.91 Å³/atom
&SYSTEM
  ibrav = 0, nat = 10, ntyp = 4
/
ATOMIC_SPECIES
Ho 164.93 Ho.upf
Be 9.01 Be.upf
Ge 72.64 Ge.upf
Rh 102.91 Rh.upf
ATOMIC_POSITIONS crystal
Ho 0.5000 0.0000 0.2513
Ho 0.0000 0.5000 0.7487
Be 0.5000 0.5000 0.0000
Be 0.0000 0.0000 0.0000
Be 0.5000 0.0000 0.6327
Be 0.0000 0.5000 0.3673
Ge 0.0000 0.0000 0.5000
Ge 0.5000 0.0000 0.8645
Ge 0.0000 0.5000 0.1355
Rh 0.5000 0.5000 0.5000
CELL_PARAMETERS angstrom
-1.1567 -0.8632 3.5898
2.0264 -3.2931 -0.1389
7.9436 4.7320 3.6974